Density functional theory data (GGA-PBE) for an optimized crystal structure of CaTlW2.

- ΔE to the lowest computed polymorph (eV per atom) = 0.574
- E_tot (eV/f.u.) = -26.22
- formation energy from the elements (eV per formula unit) = 4.06
- Fermi-level density of states (states/eV/cell) = 2.422
- total magnetization (μB per formula unit) = 0.0

a = 2.8222 Å, b = 5.0932 Å, c = 5.8212 Å
α = 90.00°, β = 90.00°, γ = 90.00°
Sites, in units of the cell vectors:
Tl 0.5000 0.5000 0.7500
Ca 0.5000 0.5000 0.2500
W 0.0000 0.0000 0.0315
W 0.0000 0.0000 0.4685

Density functional theory data (GGA-PBE) for an optimized crystal structure of CaTlW2.

- ΔE to the lowest computed polymorph (eV per atom) = 0.609
- E_tot (eV/f.u.) = -26.08
- formation energy from the elements (eV per formula unit) = 4.20
- Fermi-level density of states (states/eV/cell) = 2.885
- total magnetization (μB per formula unit) = 0.0

a = 2.8703 Å, b = 2.8703 Å, c = 10.0222 Å
α = 90.00°, β = 90.00°, γ = 102.89°
Sites, in units of the cell vectors:
Tl 0.5000 0.5000 0.7500
Ca 0.5000 0.5000 0.2500
W 0.0000 0.0000 0.9877
W 0.0000 0.0000 0.5123

Density functional theory data (GGA-PBE) for an optimized crystal structure of CaTlW2.

- ΔE to the lowest computed polymorph (eV per atom) = 0.347
- E_tot (eV/f.u.) = -27.13
- formation energy from the elements (eV per formula unit) = 3.15
- Fermi-level density of states (states/eV/cell) = 3.428
- total magnetization (μB per formula unit) = 0.0

a = 5.7321 Å, b = 5.7321 Å, c = 5.7321 Å
α = 144.20°, β = 127.22°, γ = 65.42°
Sites, in units of the cell vectors:
Tl 0.7665 0.2665 0.5000
Ca 0.4862 0.4862 0.0000
W 0.0327 0.0327 0.0000
W 0.2146 0.7146 0.5000